This record from the Alexandria database describes an optimized crystal structure of CuRhO3. The functional is PBE-GGA.

Geometry as POSCAR:
```
CuRhO3
1.0
3.6943 0.0000 0.0000
0.0000 3.6943 0.0000
0.0000 0.0000 3.6943
Cu Rh O
1 1 3
Direct
0.0000 0.0000 0.0000
0.5000 0.5000 0.5000
0.0000 0.0000 0.5000
0.0000 0.5000 0.0000
0.5000 0.0000 0.0000
```

Computed properties:
DFT total energy: -4.87 eV per atom